Material: K3YTl
Method: DFT, GGA-PBEsol
State: relaxed

```
K3YTl
1.0
6.883 0.000 0.000
0.000 6.883 0.000
0.000 0.000 6.883
K Y Tl
3 1 1
direct
0.000 0.000 0.500
0.000 0.500 0.000
0.500 0.000 0.000
0.000 0.000 0.000
0.500 0.500 0.500
```

Output
- electronic total energy (eV/cell) = -7.8
- spin magnetization (μB per formula unit) = 3.066